# LaIn2BiPt PBE-GGA optimized geometry
# crystal system: tetragonal
# energy of formation from the pure elements: -581 meV/atom
# V: 150.79 Å³/cell
# total moment: 0.0 Bohr magnetons per cell
data_LaIn2BiPt
_space_group_name_H-M_alt 'P 1'
_space_group_IT_number 1
_space_group_name_Hall 'P 1'
_cell_length_a 5.1925
_cell_length_b 5.1925
_cell_length_c 5.5926
_cell_angle_alpha 90.00
_cell_angle_beta 90.00
_cell_angle_gamma 90.00
loop_
_atom_site_label
_atom_site_fract_x
_atom_site_fract_y
_atom_site_fract_z
La1 0.0000 0.0000 0.0000
In1 0.0000 0.5000 0.5000
In2 0.5000 0.0000 0.5000
Bi1 0.5000 0.5000 0.0000
Pt1 0.0000 0.0000 0.5000

***

# La2InReBi PBE-GGA optimized geometry
# crystal system: tetragonal
# energy of formation from the pure elements: 1408 meV/atom
# V: 193.65 Å³/cell
# total moment: 0.1 Bohr magnetons per cell
data_La2InReBi
_space_group_name_H-M_alt 'P 1'
_space_group_IT_number 1
_space_group_name_Hall 'P 1'
_cell_length_a 6.0255
_cell_length_b 6.0255
_cell_length_c 5.3338
_cell_angle_alpha 90.00
_cell_angle_beta 90.00
_cell_angle_gamma 90.00
loop_
_atom_site_label
_atom_site_fract_x
_atom_site_fract_y
_atom_site_fract_z
La1 0.0000 0.5000 0.0000
La2 0.5000 0.0000 0.0000
In1 0.0000 0.0000 0.5000
Re1 0.5000 0.5000 0.5000
Bi1 0.0000 0.0000 0.0000